(1)
VASP calculation (PBE) on ZnFeAgBi after structural relaxation.

Output
The relative energy among the computed polymorphs comes out at 0 kJ/mol of formula units. The total energy is -3.6812 eV per atom.

Cell: 4.7518 4.7518 4.7518 Å, 60.00 60.00 60.00°
Last column: nearest neighbours and their distance in Å.
Fractional positions:
Ag (0.2500, 0.2500, 0.2500)  4 Zn 2.91, 4 Bi 2.91
Bi (0.0000, 0.0000, 0.0000)  4 Fe 2.91, 4 Ag 2.91
Fe (0.7500, 0.7500, 0.7500)  4 Zn 2.91, 4 Bi 2.91
Zn (0.5000, 0.5000, 0.5000)  4 Fe 2.91, 4 Ag 2.91

(2)
VASP calculation (PBE) on Ga2AgBi2 after structural relaxation.

Output
The relative energy among the computed polymorphs comes out at 41 kJ/mol of formula units. The total energy is -3.1137 eV per atom.

Cell: 6.4420 6.4420 6.4420 Å, 133.85 133.85 67.32°
Last column: nearest neighbours and their distance in Å.
Fractional positions:
Ag (0.0000, 0.0000, 0.0000)  8 Bi 3.68, 8 Ga 3.77
Bi (0.7500, 0.2500, 0.5000)  4 Ga 2.92
Bi (0.2500, 0.7500, 0.5000)  4 Ga 2.92
Ga (0.3877, 0.3877, 0.0000)  1 Ga 2.41
Ga (0.6123, 0.6123, 0.0000)  1 Ga 2.41

(3)
VASP calculation (PBE) on Ga2AgBi2 after structural relaxation.

Output
The relative energy among the computed polymorphs comes out at 0 kJ/mol of formula units. The total energy is -3.1982 eV per atom.

Cell: 8.0925 8.0925 8.0925 Å, 150.74 150.74 41.86°
Last column: nearest neighbours and their distance in Å.
Fractional positions:
Ag (0.0000, 0.0000, 0.0000)  8 Bi 3.31
Bi (0.3934, 0.3934, 0.0000)  4 Ga 2.98, 1 Bi 3.22, 4 Ag 3.31
Bi (0.6066, 0.6066, 0.0000)  4 Ga 2.98, 1 Bi 3.22, 4 Ag 3.31
Ga (0.7500, 0.2500, 0.5000)  4 Ga 2.89, 4 Bi 2.98
Ga (0.2500, 0.7500, 0.5000)  4 Ga 2.89, 4 Bi 2.98

(4)
VASP calculation (PBE) on GaAgBi2 after structural relaxation.

Output
The total energy is -3.2969 eV per atom.

Cell: 5.3183 5.3183 5.3183 Å, 60.00 60.00 60.00°
Last column: nearest neighbours and their distance in Å.
Fractional positions:
Ag (0.2500, 0.2500, 0.2500)  4 Bi 3.26, 4 Ga 3.26
Bi (0.0000, 0.0000, 0.0000)  4 Bi 3.26, 4 Ag 3.26
Bi (0.7500, 0.7500, 0.7500)  4 Bi 3.26, 4 Ga 3.26
Ga (0.5000, 0.5000, 0.5000)  4 Bi 3.26, 4 Ag 3.26

(5)
VASP calculation (PBE) on LaGdAg2Bi4 after structural relaxation.

Output
The total energy is -4.4690 eV per atom.

Cell: 4.5906 4.5906 10.4978 Å, 90.00 90.00 90.00°
Last column: nearest neighbours and their distance in Å.
Fractional positions:
Ag (0.5000, 0.0000, 0.9963)  4 Bi 3.00-3.01, 4 Ag 3.25
Ag (0.0000, 0.5000, 0.9963)  4 Bi 3.00-3.01, 4 Ag 3.25
Bi (0.5000, 0.5000, 0.1820)  4 Ag 3.01, 4 La 3.33
Bi (0.5000, 0.0000, 0.5061)  4 Bi 3.25, 2 Gd 3.43, 2 La 3.52
Bi (0.0000, 0.5000, 0.5061)  4 Bi 3.25, 2 Gd 3.43, 2 La 3.52
Bi (0.0000, 0.0000, 0.8127)  4 Ag 3.00, 4 Gd 3.31
Gd (0.5000, 0.5000, 0.7492)  8 Bi 3.31-3.43, 4 Ag 3.46
La (0.0000, 0.0000, 0.2514)  8 Bi 3.33-3.52, 4 Ag 3.53

(6)
VASP calculation (PBE) on NdGdAg2Bi2P2 after structural relaxation.

Output
The total energy is -4.8104 eV per atom.

Cell: 4.2540 4.2540 10.4706 Å, 90.00 90.00 90.00°
Last column: nearest neighbours and their distance in Å.
Fractional positions:
Ag (0.5000, 0.0000, 0.9970)  4 P 2.75-2.76, 4 Ag 3.01
Ag (0.0000, 0.5000, 0.9970)  4 P 2.75-2.76, 4 Ag 3.01
Bi (0.5000, 0.0000, 0.5045)  4 Bi 3.01
Bi (0.0000, 0.5000, 0.5045)  4 Bi 3.01
Gd (0.0000, 0.0000, 0.7594)  4 P 3.10, 4 Ag 3.27, 4 Bi 3.41
Nd (0.5000, 0.5000, 0.2427)  4 P 3.12, 4 Ag 3.34, 4 Bi 3.47
P (0.0000, 0.0000, 0.1649)  4 Ag 2.76
P (0.5000, 0.5000, 0.8300)  4 Ag 2.75

(7)
VASP calculation (PBE) on NdGdAg2Bi2Sb2 after structural relaxation.

Output
The total energy is -4.5266 eV per atom.

Cell: 4.4764 4.4764 10.5103 Å, 90.00 90.00 90.00°
Last column: nearest neighbours and their distance in Å.
Fractional positions:
Ag (0.5000, 0.0000, 0.9971)  4 Sb 2.91-2.92, 4 Ag 3.17
Ag (0.0000, 0.5000, 0.9971)  4 Sb 2.91-2.92, 4 Ag 3.17
Bi (0.5000, 0.0000, 0.5038)  4 Bi 3.17, 2 Gd 3.42, 2 Nd 3.46
Bi (0.0000, 0.5000, 0.5038)  4 Bi 3.17, 2 Gd 3.42, 2 Nd 3.46
Gd (0.5000, 0.5000, 0.7496)  4 Sb 3.25, 4 Bi 3.42, 4 Ag 3.43
Nd (0.0000, 0.0000, 0.2533)  4 Sb 3.27, 4 Bi 3.46, 4 Ag 3.50
Sb (0.5000, 0.5000, 0.1755)  4 Ag 2.92, 4 Nd 3.27
Sb (0.0000, 0.0000, 0.8197)  4 Ag 2.91, 4 Gd 3.25

(8)
VASP calculation (PBE) on SmGdAg2Bi2Sb2 after structural relaxation.

Output
The total energy is -4.5089 eV per atom.

Cell: 4.4646 4.4646 10.4826 Å, 90.00 90.00 90.00°
Last column: nearest neighbours and their distance in Å.
Fractional positions:
Ag (0.5000, 0.0000, 0.9973)  4 Sb 2.91, 4 Ag 3.16
Ag (0.0000, 0.5000, 0.9973)  4 Sb 2.91, 4 Ag 3.16
Bi (0.5000, 0.0000, 0.5036)  4 Bi 3.16, 2 Gd 3.41, 2 Sm 3.45
Bi (0.0000, 0.5000, 0.5036)  4 Bi 3.16, 2 Gd 3.41, 2 Sm 3.45
Gd (0.0000, 0.0000, 0.7495)  4 Sb 3.24, 4 Bi 3.41, 4 Ag 3.42
Sb (0.0000, 0.0000, 0.1761)  4 Ag 2.91, 4 Sm 3.26
Sb (0.5000, 0.5000, 0.8194)  4 Ag 2.91, 4 Gd 3.24
Sm (0.5000, 0.5000, 0.2532)  4 Sb 3.26, 4 Bi 3.45, 4 Ag 3.49

(9)
VASP calculation (PBE) on GdYAg2Bi4 after structural relaxation.

Output
The total energy is -4.5923 eV per atom.

Cell: 4.5430 4.5430 10.3485 Å, 90.00 90.00 90.00°
Last column: nearest neighbours and their distance in Å.
Fractional positions:
Ag (0.5000, 0.0000, 0.9997)  4 Bi 3.00, 4 Ag 3.21
Ag (0.0000, 0.5000, 0.9997)  4 Bi 3.00, 4 Ag 3.21
Bi (0.5000, 0.5000, 0.1894)  4 Ag 3.00, 4 Gd 3.28
Bi (0.5000, 0.0000, 0.5004)  4 Bi 3.21, 2 Y 3.42, 2 Gd 3.43
Bi (0.0000, 0.5000, 0.5004)  4 Bi 3.21, 2 Y 3.42, 2 Gd 3.43
Bi (0.0000, 0.0000, 0.8104)  4 Ag 3.00, 4 Y 3.28
Gd (0.0000, 0.0000, 0.2518)  8 Bi 3.28-3.43, 4 Ag 3.46
Y (0.5000, 0.5000, 0.7481)  8 Bi 3.28-3.42, 4 Ag 3.46

(10)
VASP calculation (PBE) on AgGe2Bi after structural relaxation.

Output
The total energy is -3.7046 eV per atom.

Cell: 5.0280 5.0280 5.0280 Å, 60.00 60.00 60.00°
Last column: nearest neighbours and their distance in Å.
Fractional positions:
Ag (0.5000, 0.5000, 0.5000)  4 Bi 3.08, 4 Ge 3.08
Bi (0.7500, 0.7500, 0.7500)  4 Ag 3.08, 4 Ge 3.08
Ge (0.0000, 0.0000, 0.0000)  4 Bi 3.08, 4 Ge 3.08
Ge (0.2500, 0.2500, 0.2500)  4 Ag 3.08, 4 Ge 3.08

(11)
VASP calculation (PBE) on Li4Ag2GeBi after structural relaxation.

Output
The total energy is -3.0914 eV per atom.

Cell: 4.5837 4.5837 6.6365 Å, 90.00 90.00 90.00°
Last column: nearest neighbours and their distance in Å.
Fractional positions:
Ag (0.5000, 0.0000, 0.2169)  5 Li 2.71-2.96, 2 Ge 2.71, 2 Bi 2.96
Ag (0.0000, 0.5000, 0.7831)  2 Ge 2.71, 5 Li 2.71-2.96, 2 Bi 2.96
Bi (0.0000, 0.0000, 0.5000)  8 Li 2.93-3.24, 4 Ag 2.96
Ge (0.5000, 0.5000, 0.0000)  4 Ag 2.71, 4 Li 2.74
Li (0.0000, 0.0000, 0.0000)  4 Ag 2.71, 4 Li 2.74
Li (0.0000, 0.5000, 0.2256)  4 Li 2.74-2.93, 2 Ge 2.74, 2 Bi 2.93, 1 Ag 2.94
Li (0.5000, 0.5000, 0.5000)  4 Li 2.93, 4 Ag 2.96, 4 Bi 3.24
Li (0.5000, 0.0000, 0.7744)  4 Li 2.74-2.93, 2 Ge 2.74, 2 Bi 2.93, 1 Ag 2.94

(12)
VASP calculation (PBE) on Na4Ag2GeBi after structural relaxation.

Output
The total energy is -2.5919 eV per atom.

Cell: 4.9749 4.9749 7.2571 Å, 90.00 90.00 90.00°
Last column: nearest neighbours and their distance in Å.
Fractional positions:
Ag (0.0000, 0.5000, 0.2752)  2 Ge 2.97, 5 Na 2.97-3.31, 2 Bi 3.19
Ag (0.5000, 0.0000, 0.7248)  2 Ge 2.97, 5 Na 2.97-3.31, 2 Bi 3.19
Bi (0.0000, 0.0000, 0.0000)  8 Na 3.16-3.52, 4 Ag 3.19
Ge (0.5000, 0.5000, 0.5000)  4 Ag 2.97, 4 Na 3.00
Na (0.5000, 0.5000, 0.0000)  4 Na 3.16, 4 Ag 3.19, 4 Bi 3.52
Na (0.5000, 0.0000, 0.2683)  2 Ge 3.00, 4 Na 3.00-3.16, 2 Bi 3.16, 1 Ag 3.31
Na (0.0000, 0.0000, 0.5000)  4 Ag 2.97, 4 Na 3.00
Na (0.0000, 0.5000, 0.7317)  4 Na 3.00-3.16, 2 Ge 3.00, 2 Bi 3.16, 1 Ag 3.31